Density functional theory data (GGA+U) for an optimized crystal structure of Na2SmCo3F12.

a = 6.8291 Å, b = 6.8291 Å, c = 6.8291 Å
α = 66.49°, β = 66.49°, γ = 66.49°
Site moments in Bohr magnetons follow the coordinates.
Fractional positions:
F: 0.1075 0.7417 0.7417  0.09
F: 0.4091 0.8599 0.8599  0.06
F: 0.7417 0.1075 0.7417  0.09
Co: 0.0000 0.5000 0.0000  2.98
F: 0.2583 0.2583 0.8925  0.09
F: 0.7417 0.7417 0.1075  0.09
Na: 0.6404 0.6404 0.6404  0.00
F: 0.8599 0.4091 0.8599  0.06
F: 0.5909 0.1401 0.1401  0.06
F: 0.8925 0.2583 0.2583  0.09
F: 0.1401 0.1401 0.5909  0.06
F: 0.2583 0.8925 0.2583  0.09
Co: 0.0000 0.0000 0.5000  2.98
Co: 0.5000 0.0000 0.0000  2.98
F: 0.1401 0.5909 0.1401  0.06
Sm: 0.0000 0.0000 0.0000  0.00
F: 0.8599 0.8599 0.4091  0.06
Na: 0.3596 0.3596 0.3596  0.00

magnetic moment = 10.0 μB per cell
calculated total energy = -92.06 eV/cell
space group = No. 166